# 1
A plane-wave DFT calculation with PBE-GGA was carried out for an optimized crystal structure of HfIn3F.

```
HfIn3F
1.0
5.710 0.000 0.000
0.000 5.710 0.000
0.000 0.000 5.710
Hf In F
1 3 1
direct
0.000 0.000 0.000
0.000 0.000 0.500
0.000 0.500 0.000
0.500 0.000 0.000
0.500 0.500 0.500
```

The value obtained for the spin magnetization is 3.3 μB per cell. Its symmetry is No. 221. The density of states at the Fermi level is 7.44 states/eV/f.u. The value obtained for the uncorrected formation energy is 0.367 eV per atom. The calculation puts the total energy at -18.21 eV/f.u.

# 2
A plane-wave DFT calculation with PBE-GGA was carried out for an optimized crystal structure of BeSb2PdI.

```
BeSb2PdI
1.0
4.852 0.000 0.000
0.000 4.852 0.000
0.000 0.000 5.180
Be Sb Pd I
1 2 1 1
direct
0.000 0.000 0.000
0.000 0.500 0.000
0.500 0.000 0.000
0.500 0.500 0.500
0.000 0.000 0.500
```

The value obtained for the spin magnetization is 0.0 μB per cell. Its symmetry is No. 123. The density of states at the Fermi level is 3.81 states/eV/f.u. The value obtained for the uncorrected formation energy is 0.628 eV per atom. The calculation puts the total energy at -15.57 eV/f.u.

# 3
A plane-wave DFT calculation with PBE-GGA was carried out for an optimized crystal structure of AlNiMo2.

```
AlNiMo2
1.0
2.656 0.000 0.000
0.000 3.936 0.000
0.000 0.000 5.552
Al Ni Mo
1 1 2
direct
0.000 0.000 0.000
0.500 0.500 0.782
0.000 0.000 0.520
0.500 0.500 0.262
```

The value obtained for the spin magnetization is 0.0 μB per cell. Its symmetry is No. 25. For the energy relative to the elements, the calculation gives -0.002 eV/atom. The density of states at the Fermi level is 2.50 states/eV/f.u. The calculation puts the total energy at -31.20 eV/f.u.

# 4
A plane-wave DFT calculation with PBE-GGA was carried out for an optimized crystal structure of Rb2CeH3F3.

```
Rb2CeH3F3
1.0
6.955 0.000 0.000
-3.478 6.023 0.000
0.000 0.000 3.721
Rb Ce H F
2 1 3 3
direct
0.333 0.667 0.000
0.667 0.333 0.000
0.000 0.000 0.500
0.000 0.680 0.500
0.320 0.320 0.500
0.680 0.000 0.500
0.000 0.222 0.000
0.222 0.000 0.000
0.778 0.778 0.000
```

The value obtained for the spin magnetization is 0.0 μB per cell. Its symmetry is No. 189. The calculation puts the total energy at -39.25 eV/f.u.